P.
# Dy2Tm3Sc PBE-GGA relaxed
data_Dy2Tm3Sc
_cell_length_a 16.975
_cell_length_b 6.941
_cell_length_c 6.008
_cell_angle_alpha 90.00
_cell_angle_beta 90.04
_cell_angle_gamma 90.00
_symmetry_space_group_name_H-M 'C 1 2/c 1'
_symmetry_Int_Tables_number 15
_symmetry_space_group_name_Hall '-C 2yc'
loop_
_atom_site_label
_atom_site_fract_x
_atom_site_fract_y
_atom_site_fract_z
Dy1 0.165 0.126 0.415
Tm1 0.000 0.128 0.750
Tm2 0.164 0.376 0.920
Sc1 0.000 0.377 0.250
# Size of the total moment in μB/cell: 0.0

Q.
# Dy2Tm3Sc PBE-GGA relaxed
data_Dy2Tm3Sc
_cell_length_a 17.315
_cell_length_b 3.408
_cell_length_c 13.837
_cell_angle_alpha 90.00
_cell_angle_beta 117.54
_cell_angle_gamma 90.00
_symmetry_space_group_name_H-M 'C 1 2/m 1'
_symmetry_Int_Tables_number 12
_symmetry_space_group_name_Hall '-C 2y'
loop_
_atom_site_label
_atom_site_fract_x
_atom_site_fract_y
_atom_site_fract_z
Dy1 0.155 0.000 0.469
Dy2 0.179 0.500 0.879
Tm1 0.039 0.500 0.215
Tm2 0.099 0.000 0.026
Tm3 0.241 0.000 0.293
Sc1 0.063 0.000 0.641
# Size of the total moment in μB/cell: 0.0

Of them, P has the highest stability.

P.
# DyTm4Sc2 PBE-GGA relaxed
data_DyTm4Sc2
_cell_length_a 5.722
_cell_length_b 3.466
_cell_length_c 10.743
_cell_angle_alpha 90.00
_cell_angle_beta 99.45
_cell_angle_gamma 90.00
_symmetry_space_group_name_H-M 'P 1 2/m 1'
_symmetry_Int_Tables_number 10
_symmetry_space_group_name_Hall '-P 2y'
loop_
_atom_site_label
_atom_site_fract_x
_atom_site_fract_y
_atom_site_fract_z
Dy1 0.000 0.000 0.000
Tm1 0.088 0.500 0.266
Tm2 0.431 0.000 0.786
Sc1 0.000 0.000 0.500
Sc2 0.500 0.500 0.500
# Size of the total moment in μB/cell: 0.0

Q.
# DyTm4Sc2 PBE-GGA relaxed
data_DyTm4Sc2
_cell_length_a 6.054
_cell_length_b 8.144
_cell_length_c 8.860
_cell_angle_alpha 95.69
_cell_angle_beta 90.02
_cell_angle_gamma 111.77
_symmetry_space_group_name_H-M 'P 1'
_symmetry_Int_Tables_number 1
_symmetry_space_group_name_Hall 'P 1'
loop_
_atom_site_label
_atom_site_fract_x
_atom_site_fract_y
_atom_site_fract_z
Dy1 0.000 0.000 0.000
Dy2 0.424 0.859 0.147
Tm1 0.094 0.855 0.640
Tm2 0.138 0.292 0.712
Tm3 0.243 0.153 0.364
Tm4 0.379 0.434 0.074
Tm5 0.523 0.714 0.781
Tm6 0.575 0.152 0.854
Tm7 0.815 0.294 0.222
Tm8 0.853 0.716 0.290
Sc1 0.290 0.577 0.433
Sc2 0.664 0.003 0.502
Sc3 0.717 0.432 0.573
Sc4 0.949 0.573 0.926
# Size of the total moment in μB/cell: 0.0

Of them, Q has the highest stability.

P.
# Dy6TmSc3 PBE-GGA relaxed
data_Dy6TmSc3
_cell_length_a 9.366
_cell_length_b 20.305
_cell_length_c 6.211
_cell_angle_alpha 90.00
_cell_angle_beta 90.00
_cell_angle_gamma 90.00
_symmetry_space_group_name_H-M 'C m c 21'
_symmetry_Int_Tables_number 36
_symmetry_space_group_name_Hall 'C 2c -2'
loop_
_atom_site_label
_atom_site_fract_x
_atom_site_fract_y
_atom_site_fract_z
Dy1 0.000 0.015 0.000
Dy2 0.000 0.302 0.998
Dy3 0.178 0.282 0.530
Dy4 0.180 0.443 0.788
Tm1 0.000 0.157 0.224
Sc1 0.000 0.417 0.308
Sc2 0.167 0.126 0.694
# Size of the total moment in μB/cell: 0.0

Q.
# Dy6TmSc3 PBE-GGA relaxed
data_Dy6TmSc3
_cell_length_a 10.430
_cell_length_b 18.488
_cell_length_c 6.138
_cell_angle_alpha 90.00
_cell_angle_beta 90.00
_cell_angle_gamma 90.00
_symmetry_space_group_name_H-M 'C m c 21'
_symmetry_Int_Tables_number 36
_symmetry_space_group_name_Hall 'C 2c -2'
loop_
_atom_site_label
_atom_site_fract_x
_atom_site_fract_y
_atom_site_fract_z
Dy1 0.000 0.047 0.000
Dy2 0.000 0.299 0.202
Dy3 0.166 0.462 0.333
Dy4 0.244 0.204 0.012
Tm1 0.000 0.209 0.689
Sc1 0.000 0.386 0.759
Sc2 0.187 0.114 0.438
# Size of the total moment in μB/cell: 0.0

Of them, P has the highest stability.

P.
# Dy3Tm7Sc2 PBE-GGA relaxed
data_Dy3Tm7Sc2
_cell_length_a 5.552
_cell_length_b 36.794
_cell_length_c 3.504
_cell_angle_alpha 90.00
_cell_angle_beta 90.00
_cell_angle_gamma 90.00
_symmetry_space_group_name_H-M 'C m m m'
_symmetry_Int_Tables_number 65
_symmetry_space_group_name_Hall '-C 2 2'
loop_
_atom_site_label
_atom_site_fract_x
_atom_site_fract_y
_atom_site_fract_z
Dy1 0.000 0.000 0.000
Dy2 0.000 0.184 0.000
Tm1 0.000 0.094 0.500
Tm2 0.000 0.270 0.500
Tm3 0.000 0.427 0.000
Tm4 0.000 0.500 0.500
Sc1 0.000 0.353 0.500
# Size of the total moment in μB/cell: 0.0

Q.
# Dy3Tm7Sc2 PBE-GGA relaxed
data_Dy3Tm7Sc2
_cell_length_a 3.541
_cell_length_b 5.388
_cell_length_c 19.936
_cell_angle_alpha 90.00
_cell_angle_beta 95.14
_cell_angle_gamma 90.00
_symmetry_space_group_name_H-M 'P 1 2/m 1'
_symmetry_Int_Tables_number 10
_symmetry_space_group_name_Hall '-P 2y'
loop_
_atom_site_label
_atom_site_fract_x
_atom_site_fract_y
_atom_site_fract_z
Dy1 0.000 0.000 0.000
Dy2 0.329 0.500 0.662
Tm1 0.090 0.500 0.177
Tm2 0.215 0.000 0.429
Tm3 0.430 0.000 0.863
Tm4 0.500 0.500 0.000
Sc1 0.140 0.000 0.274
# Size of the total moment in μB/cell: 0.0

Of them, P has the highest stability.

P.
# Dy3TmSc2 PBE-GGA relaxed
data_Dy3TmSc2
_cell_length_a 14.315
_cell_length_b 9.628
_cell_length_c 5.416
_cell_angle_alpha 90.00
_cell_angle_beta 90.00
_cell_angle_gamma 90.00
_symmetry_space_group_name_H-M 'C m c m'
_symmetry_Int_Tables_number 63
_symmetry_space_group_name_Hall '-C 2c 2'
loop_
_atom_site_label
_atom_site_fract_x
_atom_site_fract_y
_atom_site_fract_z
Dy1 0.000 0.093 0.250
Dy2 0.244 0.132 0.250
Tm1 0.000 0.280 0.750
Sc1 0.105 0.405 0.250
# Size of the total moment in μB/cell: 0.0

Q.
# Dy3TmSc2 PBE-GGA relaxed
data_Dy3TmSc2
_cell_length_a 22.541
_cell_length_b 3.367
_cell_length_c 9.826
_cell_angle_alpha 90.00
_cell_angle_beta 107.94
_cell_angle_gamma 90.00
_symmetry_space_group_name_H-M 'C 1 2/m 1'
_symmetry_Int_Tables_number 12
_symmetry_space_group_name_Hall '-C 2y'
loop_
_atom_site_label
_atom_site_fract_x
_atom_site_fract_y
_atom_site_fract_z
Dy1 0.059 0.000 0.431
Dy2 0.070 0.500 0.775
Dy3 0.197 0.000 0.708
Tm1 0.186 0.000 0.044
Sc1 0.072 0.500 0.137
Sc2 0.192 0.000 0.372
# Size of the total moment in μB/cell: 0.0

Of them, Q has the highest stability.

P.
# DyTm8Sc2 PBE-GGA relaxed
data_DyTm8Sc2
_cell_length_a 16.275
_cell_length_b 6.442
_cell_length_c 6.426
_cell_angle_alpha 90.00
_cell_angle_beta 101.18
_cell_angle_gamma 90.00
_symmetry_space_group_name_H-M 'C 1 2/m 1'
_symmetry_Int_Tables_number 12
_symmetry_space_group_name_Hall '-C 2y'
loop_
_atom_site_label
_atom_site_fract_x
_atom_site_fract_y
_atom_site_fract_z
Dy1 0.000 0.000 0.000
Tm1 0.090 0.262 0.416
Tm2 0.092 0.500 0.912
Tm3 0.241 0.000 0.302
Sc1 0.206 0.000 0.793
# Size of the total moment in μB/cell: 0.0

Q.
# DyTm8Sc2 PBE-GGA relaxed
data_DyTm8Sc2
_cell_length_a 5.278
_cell_length_b 8.051
_cell_length_c 15.374
_cell_angle_alpha 90.00
_cell_angle_beta 90.00
_cell_angle_gamma 90.00
_symmetry_space_group_name_H-M 'I m m m'
_symmetry_Int_Tables_number 71
_symmetry_space_group_name_Hall '-I 2 2'
loop_
_atom_site_label
_atom_site_fract_x
_atom_site_fract_y
_atom_site_fract_z
Dy1 0.000 0.000 0.000
Tm1 0.000 0.201 0.500
Tm2 0.000 0.294 0.143
Tm3 0.000 0.500 0.338
Sc1 0.000 0.000 0.299
# Size of the total moment in μB/cell: 0.0

Of them, Q has the highest stability.